No. 1
SrDyTlPd | PBE-GGA | optimized geometry

Properties
**Calculated formation energy**: -1.6 eV per formula unit
**SG**: F-43m, No. 216

a = 5.335 Å, b = 5.335 Å, c = 5.335 Å
α = 60.00°, β = 60.00°, γ = 60.00°
Sites, in units of the cell vectors:
Sr  0.250  0.250  0.250
Tl  0.500  0.500  0.500
Pd  0.000  0.000  0.000
Dy  0.750  0.750  0.750



No. 2
NpBiSb2 | PBE-GGA | optimized geometry

Properties
**E_form (uncorrected)**: -0.0438 eV/atom
**Relative energy among the computed polymorphs**: 34 meV per atom
**SG**: P4/mmm, No. 123

a = 4.125 Å, b = 4.125 Å, c = 6.487 Å
α = 90.00°, β = 90.00°, γ = 90.00°
Last column: magnetic moment on the atom in μB.
Sites, in units of the cell vectors:
Np  0.500  0.500  0.500  3.85
Sb  0.000  0.000  0.733  -0.05
Sb  0.000  0.000  0.267  -0.05
Bi  0.500  0.500  0.000  -0.01



No. 3
KTcIr3 | PBE-GGA | optimized geometry

Properties
**Calculated formation energy**: 6.6 eV per formula unit
**Relative energy among the computed polymorphs**: 0 meV per atom
**SG**: Pm-3m, No. 221

a = 4.800 Å, b = 4.800 Å, c = 4.800 Å
α = 90.00°, β = 90.00°, γ = 90.00°
Sites, in units of the cell vectors:
K  0.500  0.500  0.500
Ir  0.000  0.500  0.000
Ir  0.000  0.000  0.500
Ir  0.500  0.000  0.000
Tc  0.000  0.000  0.000



No. 4
NdMgSc | PBE-GGA | optimized geometry

Properties
**Calculated formation energy**: 0.3 eV per formula unit
**Relative energy among the computed polymorphs**: 128 meV per atom
**SG**: Pnma, No. 62

a = 3.307 Å, b = 8.775 Å, c = 11.872 Å
α = 90.00°, β = 90.00°, γ = 90.00°
Sites, in units of the cell vectors:
Sc  0.750  0.983  0.391
Sc  0.250  0.483  0.109
Sc  0.750  0.517  0.891
Sc  0.250  0.017  0.609
Nd  0.750  0.824  0.078
Nd  0.250  0.176  0.922
Nd  0.750  0.676  0.578
Nd  0.250  0.324  0.422
Mg  0.750  0.312  0.679
Mg  0.750  0.188  0.179
Mg  0.250  0.688  0.321
Mg  0.250  0.812  0.821